<one>
Compound: P2PtRh
Source: the Alexandria database
Functional: PBE
Structure: relaxed

Output
Fermi-level density of states, states/eV/cell: 3.20
Total magnetization, μB/f.u.: 0.00

Cell lengths 2.8801, 2.8801, 8.3234 Å; angles 90.00, 90.00, 121.60 degrees
Closest atoms and distances in Å follow each position.
Fractional coordinates of all 4 atoms:
P  0.0000  0.0000  0.2409  2 Rh 2.45, 2 Pt 2.57
P  0.0000  0.0000  0.7591  2 Rh 2.45, 2 Pt 2.57
Pt  0.5000  0.5000  0.5000  4 P 2.57, 6 Pt 2.81-2.88
Rh  0.5000  0.5000  0.0000  4 P 2.45



<two>
Compound: P2PtRh
Source: the Alexandria database
Functional: PBE
Structure: relaxed

Output
Fermi-level density of states, states/eV/cell: 2.60
Total magnetization, μB/f.u.: 0.00

Cell lengths 2.7579, 4.6022, 4.8279 Å; angles 90.00, 90.00, 90.00 degrees
Closest atoms and distances in Å follow each position.
Fractional coordinates of all 4 atoms:
P  0.0000  0.0000  0.0000  2 Rh 2.39, 2 Pt 2.41-2.42
P  0.0000  0.5000  0.3570  2 Rh 2.36-2.47, 2 Pt 2.40
Pt  0.0000  0.0000  0.4989  4 P 2.40-2.42
Rh  0.0000  0.5000  0.8678  4 P 2.36-2.47



<three>
Compound: P2PtRh
Source: the Alexandria database
Functional: PBE
Structure: relaxed

Output
Fermi-level density of states, states/eV/cell: 2.58
Total magnetization, μB/f.u.: 0.00

Cell lengths 2.9717, 2.9717, 7.5875 Å; angles 90.00, 90.00, 90.00 degrees
Closest atoms and distances in Å follow each position.
Fractional coordinates of all 4 atoms:
P  0.0000  0.0000  0.0000  4 Rh 2.41
P  0.5000  0.5000  0.3946  4 Pt 2.44
Pt  0.0000  0.0000  0.5570  4 P 2.44
Rh  0.5000  0.5000  0.8456  4 P 2.41



<four>
Compound: P2PtRh
Source: the Alexandria database
Functional: PBE
Structure: relaxed

Output
Fermi-level density of states, states/eV/cell: 1.96
Total magnetization, μB/f.u.: 0.00

Cell lengths 4.1227, 3.7835, 4.1536 Å; angles 90.00, 94.18, 90.00 degrees
Closest atoms and distances in Å follow each position.
Fractional coordinates of all 4 atoms:
P  0.1707  0.0000  0.3192  1 P 2.13, 2 Rh 2.39
P  0.8293  0.0000  0.6808  1 P 2.13, 2 Rh 2.39
Pt  0.5000  0.5000  0.5000  4 P 2.42
Rh  0.0000  0.5000  0.0000  4 P 2.39



Which of them is least stable? Easy: <one>.



<one>
Compound: P2PtRh
Source: the Alexandria database
Functional: PBE
Structure: relaxed

Output
Fermi-level density of states, states/eV/cell: 3.22
Total magnetization, μB/f.u.: 0.00

Cell lengths 2.8365, 4.1223, 5.0409 Å; angles 90.00, 90.00, 90.00 degrees
Closest atoms and distances in Å follow each position.
Fractional coordinates of all 4 atoms:
P  0.0000  0.0000  0.0000  4 Rh 2.50
P  0.5000  0.0000  0.5000  4 Pt 2.50
Pt  0.0000  0.5000  0.5000  4 P 2.50
Rh  0.5000  0.5000  0.0000  4 P 2.50



<two>
Compound: P2PtRh
Source: the Alexandria database
Functional: PBE
Structure: relaxed

Output
Fermi-level density of states, states/eV/cell: 1.62
Total magnetization, μB/f.u.: 0.00

Cell lengths 4.0537, 4.0537, 5.2129 Å; angles 90.29, 90.29, 48.21 degrees
Closest atoms and distances in Å follow each position.
Fractional coordinates of all 4 atoms:
P  0.0000  0.0000  0.0000  3 Rh 2.29-2.54, 2 Pt 2.36
P  0.6948  0.6948  0.4819  2 Rh 2.32, 3 Pt 2.35-2.59
Pt  0.4173  0.4173  0.6984  5 P 2.35-2.59
Rh  0.2787  0.2787  0.1948  5 P 2.29-2.54



Which of them is least stable? Easy: <one>.



<one>
Compound: PPtRh3
Source: the Alexandria database
Functional: PBE
Structure: relaxed

Output
Fermi-level density of states, states/eV/cell: 6.78
Total magnetization, μB/f.u.: 0.00

Cell lengths 4.3375, 4.3375, 4.3375 Å; angles 90.00, 90.00, 90.00 degrees
Closest atoms and distances in Å follow each position.
Fractional coordinates of all 5 atoms:
P  0.0000  0.0000  0.0000  6 Rh 2.17
Pt  0.5000  0.5000  0.5000  12 Rh 3.07
Rh  0.0000  0.0000  0.5000  2 P 2.17
Rh  0.0000  0.5000  0.0000  2 P 2.17
Rh  0.5000  0.0000  0.0000  2 P 2.17



<two>
Compound: PPtRh3
Source: the Alexandria database
Functional: PBE
Structure: relaxed

Output
Fermi-level density of states, states/eV/cell: 9.01
Total magnetization, μB/f.u.: 2.95

Cell lengths 4.7669, 4.7669, 4.7669 Å; angles 90.00, 90.00, 90.00 degrees
Closest atoms and distances in Å follow each position.
Fractional coordinates of all 5 atoms:
P  0.0000  0.0000  0.0000  12 Rh 3.37
Pt  0.5000  0.5000  0.5000  6 Rh 2.38
Rh  0.0000  0.5000  0.5000  2 Pt 2.38
Rh  0.5000  0.0000  0.5000  2 Pt 2.38
Rh  0.5000  0.5000  0.0000  2 Pt 2.38



Which of them is least stable? Easy: <two>.